[1]
A plane-wave DFT calculation with PBE was carried out for a geometry-optimized Be2NiPd structure.

The structure belongs to space group F-43m (No. 216); the cell edges are 5.590, 5.590 and 5.590 Å and the angles 90.00°, 90.00° and 90.00°. The distinct sites, in fractional coordinates, are Be at (0.000, 0.000, 0.000), Be at (0.250, 0.250, 0.250), Ni at (0.250, 0.250, 0.750) and Pd at (0.000, 0.000, 0.500).

The raw total energy comes out at -4.71 eV/atom. The calculation puts the spin magnetization at 0.0 μB per cell.

***

[2]
A plane-wave DFT calculation with PBE was carried out for a geometry-optimized BeNiPd2 structure.

The structure belongs to space group F-43m (No. 216); the cell edges are 5.902, 5.902 and 5.902 Å and the angles 90.00°, 90.00° and 90.00°. The distinct sites, in fractional coordinates, are Be at (0.000, 0.000, 0.000), Ni at (0.250, 0.250, 0.750), Pd at (0.000, 0.000, 0.500) and Pd at (0.250, 0.250, 0.250).

The raw total energy comes out at -4.96 eV/atom. The calculation puts the spin magnetization at 0.0 μB per cell.

***

[3]
A plane-wave DFT calculation with PBE was carried out for a geometry-optimized BeNi2Pd structure.

The structure belongs to space group F-43m (No. 216); the cell edges are 5.647, 5.647 and 5.647 Å and the angles 90.00°, 90.00° and 90.00°. The distinct sites, in fractional coordinates, are Be at (0.000, 0.000, 0.000), Ni at (0.000, 0.000, 0.500), Ni at (0.250, 0.250, 0.250) and Pd at (0.250, 0.250, 0.750).

The raw total energy comes out at -5.15 eV/atom. The calculation puts the spin magnetization at 0.0 μB per cell.

***

Which value of raw total energy does entry 2 give? -4.96 eV/atom